Here is a relaxed structure of Ca3Cu3Rh from Alexandria via LeMat-Bulk. Energies are from PBE.

Geometry as POSCAR:
```
Ca3Cu3Rh
1.0
-1.206 4.066 0.561
-5.345 0.431 1.695
3.300 1.381 13.398
Cu Ca Rh
6 6 2
Direct
0.903 0.117 0.077
0.097 0.883 0.923
0.051 0.130 0.769
0.868 0.727 0.538
0.949 0.870 0.231
0.132 0.273 0.462
0.606 0.710 0.079
0.543 0.304 0.609
0.394 0.290 0.921
0.457 0.696 0.391
0.759 0.724 0.758
0.241 0.276 0.242
0.245 0.900 0.610
0.755 0.100 0.390
```

Values from the calculation:
- symmetry = C2/m (12)
- formation enthalpy at 0 K (meV/atom) = -189
- raw total energy (eV for the cell shown) = -53.933